{
  "formula": "Na2HfReO6",
  "functional": "PBE",
  "state": "optimized geometry",
  "volume_a3_per_atom": 12.71,
  "m_tot_mub_per_cell": 0.5,
  "e_form_raw_ev_per_atom": -2.22,
  "e_tot_ev_per_atom": -7.697,
  "lattice_angstrom": [[3.9824, 0.0000, 0.0000], [0.0000, 5.6483, 0.0000], [0.0000, 0.0000, 5.6483]],
  "species": ["Na", "O", "O", "O", "O", "Na", "O", "Hf", "Re", "O"],
  "frac_coords": [[0.1440, 0.0000, 0.5000], [0.1449, 0.0000, 0.0000], [0.1448, 0.5000, 0.5000], [0.6449, 0.2387, 0.2387], [0.6449, 0.2387, 0.7613], [0.1440, 0.5000, 0.0000], [0.6449, 0.7613, 0.2387], [0.6448, 0.5000, 0.5000], [0.6446, 0.0000, 0.0000], [0.6449, 0.7613, 0.7613]]
}